No. 1
A plane-wave DFT calculation with PBE was carried out for a relaxed PaCuNiHg crystal.

a = 6.6011 Å, b = 6.6011 Å, c = 6.6011 Å
α = 90.00°, β = 90.00°, γ = 90.00°
Fractional positions:
Pa 0.0000 0.0000 0.0000
Pa 0.0000 0.5000 0.5000
Pa 0.5000 0.0000 0.5000
Pa 0.5000 0.5000 0.0000
Cu 0.2500 0.2500 0.2500
Cu 0.2500 0.7500 0.7500
Cu 0.7500 0.2500 0.7500
Cu 0.7500 0.7500 0.2500
Ni 0.2500 0.2500 0.7500
Ni 0.2500 0.7500 0.2500
Ni 0.7500 0.2500 0.2500
Ni 0.7500 0.7500 0.7500
Hg 0.0000 0.0000 0.5000
Hg 0.0000 0.5000 0.0000
Hg 0.5000 0.0000 0.0000
Hg 0.5000 0.5000 0.5000

Values from the calculation:
Symmetry   No. 216
Total DFT energy (no corrections)   -79.45 eV per cell
Energy relative to the elements   -0.047 eV/atom



No. 2
A plane-wave DFT calculation with PBE was carried out for a relaxed YSiAs2 crystal.

a = 3.9994 Å, b = 3.8634 Å, c = 5.8222 Å
α = 90.00°, β = 108.91°, γ = 90.00°
Fractional positions:
Y 0.0000 0.0000 0.0000
Si 0.0000 0.0000 0.5000
As 0.4264 0.5000 0.7661
As 0.5736 0.5000 0.2339

Values from the calculation:
Symmetry   No. 10
Total DFT energy (no corrections)   -22.84 eV per cell
Raw formation energy   -414 meV/atom



No. 3
A plane-wave DFT calculation with PBE was carried out for a relaxed Y2SnAs crystal.

a = 4.0496 Å, b = 4.0496 Å, c = 22.9428 Å
α = 90.00°, β = 90.00°, γ = 120.00°
Fractional positions:
Y 0.0000 0.0000 0.2395
Y 0.0000 0.0000 0.7605
Y 0.3333 0.6667 0.4272
Y 0.3333 0.6667 0.9061
Y 0.6667 0.3333 0.0939
Y 0.6667 0.3333 0.5728
Sn 0.0000 0.0000 0.0000
Sn 0.3333 0.6667 0.6667
Sn 0.6667 0.3333 0.3333
As 0.0000 0.0000 0.5000
As 0.3333 0.6667 0.1667
As 0.6667 0.3333 0.8333

Values from the calculation:
Symmetry   No. 166
Total DFT energy (no corrections)   -77.81 eV per cell
Energy relative to the elements   -1.089 eV/atom



No. 4
A plane-wave DFT calculation with PBE was carried out for a relaxed ErPuPbO6 crystal.

a = 5.7838 Å, b = 5.7838 Å, c = 10.2204 Å
α = 90.00°, β = 90.00°, γ = 120.00°
Fractional positions:
Er 0.3333 0.6667 0.2500
Er 0.6667 0.3333 0.7500
Pu 0.3333 0.6667 0.7500
Pu 0.6667 0.3333 0.2500
Pb 0.0000 0.0000 0.0000
Pb 0.0000 0.0000 0.5000
O 0.0297 0.3823 0.6434
O 0.0297 0.6474 0.8566
O 0.3526 0.3823 0.8566
O 0.3526 0.9703 0.6434
O 0.3823 0.0297 0.1434
O 0.3823 0.3526 0.3566
O 0.6177 0.6474 0.6434
O 0.6177 0.9703 0.8566
O 0.6474 0.0297 0.3566
O 0.6474 0.6177 0.1434
O 0.9703 0.3526 0.1434
O 0.9703 0.6177 0.3566

Values from the calculation:
Symmetry   No. 163
Total DFT energy (no corrections)   -148.29 eV per cell
Raw formation energy   -2421 meV/atom



No. 5
A plane-wave DFT calculation with PBE was carried out for a relaxed Y2TeBr crystal.

a = 8.7404 Å, b = 3.9538 Å, c = 6.6666 Å
α = 90.00°, β = 105.68°, γ = 90.00°
Fractional positions:
Y 0.2481 0.0000 0.2523
Y 0.2519 0.5000 0.7477
Y 0.7481 0.5000 0.2523
Y 0.7519 0.0000 0.7477
Te 0.0000 0.5000 0.0000
Te 0.5000 0.0000 0.0000
Br 0.0000 0.0000 0.5000
Br 0.5000 0.5000 0.5000

Values from the calculation:
Symmetry   No. 12
Total DFT energy (no corrections)   -43.86 eV per cell
Raw formation energy   -1047 meV/atom



No. 6
A plane-wave DFT calculation with PBE was carried out for a relaxed Tl2TePtO crystal.

a = 6.0241 Å, b = 6.0241 Å, c = 3.7519 Å
α = 90.00°, β = 90.00°, γ = 90.00°
Fractional positions:
Tl 0.0000 0.5000 0.0000
Tl 0.5000 0.0000 0.0000
Te 0.0000 0.0000 0.5000
Pt 0.5000 0.5000 0.5000
O 0.5000 0.5000 0.0000

Values from the calculation:
Symmetry   No. 123
Total DFT energy (no corrections)   -19.67 eV per cell
Raw formation energy   -159 meV/atom



Respective ρ values: 12.79 5.21 5.68 8.01 5.77 9.12 g cm⁻³.